8
Lattice="3.580 0.000 0.000 0.000 3.593 0.000 0.000 0.000 7.667" Properties=species:S:1:pos:R:3 comment="Mn2FeAs, relaxed, DFT PBE" e_tot_ev_per_cell=-63.229 dos_at_fermi_per_ev_fu=3.51 delta_e_f_ev_per_atom=-0.041 magnetic_moment_mub_per_atom=0.335 crystal_system=orthorhombic pbc="T T T"
Mn 0.000 0.000 0.000
Mn 0.000 1.796 1.915
Mn 1.790 0.000 5.749
Mn 1.790 1.796 3.834
Fe 0.000 0.000 3.831
Fe 1.790 1.796 7.665
As 0.000 1.796 5.751
As 1.790 0.000 1.917